1.
CdRe2Pt | the Alexandria database | PBE | optimized geometry; volume = 65 Å³/cell; formation enthalpy at 0 K = 0.521 eV/atom; spin magnetization = 0.00 μB per formula unit
1.0
-1.9924 -0.0261 -4.0499
-4.4298 -0.8000 -0.3307
-2.8157 3.3344 -1.1514
Re Pt Cd
2 1 1
Direct
0.0000 0.0000 0.0000
0.2500 0.2500 0.2500
0.7500 0.7500 0.7500
0.5000 0.5000 0.5000

---

2.
RbGa2Ge2 | the Alexandria database | PBE | optimized geometry; volume = 238 Å³/cell; formation enthalpy at 0 K = 0.100 eV/atom; spin magnetization = 0.00 μB per formula unit
1.0
-3.2566 -5.2045 -6.1012
-2.7103 -5.4833 6.1241
-2.7689 1.5462 0.1590
Ge Ga Rb
4 4 2
Direct
0.1358 0.6358 0.5000
0.6358 0.8642 0.5000
0.8642 0.3642 0.5000
0.3642 0.1358 0.5000
0.3658 0.8658 0.0000
0.8658 0.6342 0.0000
0.6342 0.1342 0.0000
0.1342 0.3658 0.0000
0.0000 0.0000 0.0000
0.5000 0.5000 0.0000

---

3.
TbMgUO6 | the Alexandria database | PBE | optimized geometry; volume = 250 Å³/cell; calculated total energy = -0.29866 hartree per atom; spin magnetization = 0.83 μB per formula unit
1.0
5.4322 0.0000 0.0000
-2.7161 4.7044 0.0000
0.0000 0.0000 9.7756
Tb Mg U O
2 2 2 12
Direct
0.0000 0.0000 0.0000
0.0000 0.0000 0.5000
0.3333 0.6667 0.2500
0.6667 0.3333 0.7500
0.6667 0.3333 0.2500
0.3333 0.6667 0.7500
0.6545 0.6491 0.1372
0.9947 0.3455 0.1372
0.3455 0.9947 0.6372
0.0053 0.6545 0.8628
0.3509 0.3455 0.3628
0.9947 0.6491 0.3628
0.6491 0.9947 0.8628
0.6545 0.0053 0.3628
0.0053 0.3509 0.6372
0.3509 0.0053 0.1372
0.6491 0.6545 0.6372
0.3455 0.3509 0.8628

---

4.
LiTbDy2 | the Alexandria database | PBE | optimized geometry; volume = 117 Å³/cell; formation enthalpy at 0 K = 0.159 eV/atom; spin magnetization = 0.00 μB per formula unit
1.0
3.7166 0.0000 0.0000
0.0000 5.6063 0.0000
0.0000 0.0000 5.6063
Li Tb Dy
1 1 2
Direct
0.5000 0.0000 0.0000
0.5000 0.5000 0.5000
0.0000 0.0000 0.5000
0.0000 0.5000 0.0000

---

5.
Rb4Pm3AlTe8 | the Alexandria database | PBE | optimized geometry; volume = 613 Å³/cell; calculated total energy = -0.15116 hartree per atom; spin magnetization = 0.00 μB per formula unit
1.0
-7.4299 5.0327 1.4706
-4.8682 -5.0976 -7.1505
3.6182 -4.8566 6.7844
Rb Pm Al Te
4 3 1 8
Direct
0.5000 0.0000 0.0000
0.5000 0.0000 0.5000
0.0000 0.0000 0.0000
0.0000 0.0000 0.5000
0.5000 0.5000 0.0000
0.5000 0.5000 0.5000
0.0000 0.5000 0.5000
0.0000 0.5000 0.0000
0.2187 0.6927 0.9740
0.2189 0.6928 0.4377
0.2646 0.2938 0.5292
0.7553 0.6927 0.9740
0.2447 0.3073 0.0260
0.7354 0.7062 0.4708
0.7811 0.3072 0.5623
0.7813 0.3073 0.0260

---

6.
MgZrMn3 | the Alexandria database | PBE | optimized geometry; volume = 112 Å³/cell; formation enthalpy at 0 K = 1.185 eV/atom; spin magnetization = 9.23 μB per formula unit
1.0
-0.5295 4.5577 1.4744
-4.0436 -1.2206 2.3208
2.5681 -0.9821 3.9581
Mg Mn Zr
1 3 1
Direct
0.5000 0.5000 0.5000
0.0000 0.5000 0.0000
0.0000 0.0000 0.5000
0.5000 0.0000 0.0000
0.0000 0.0000 0.0000